# BaNa2Li2

BaNa2Li2 after structural relaxation (PBE-GGA, Alexandria via LeMat-Bulk).

The space group is I4/mmm. The value obtained for the formation energy from the elements is 0.074 eV/atom. The value obtained for the density of states at the Fermi level is 3.08 states/eV/cell. The value obtained for the offset from the most stable computed form is 4.1 meV per atom.

a = 5.570 Å, b = 5.570 Å, c = 7.154 Å
α = 67.09°, β = 67.09°, γ = 90.00°
Element x y z (fractional)
Na1 0.635 0.635 0.730
Na2 0.365 0.365 0.270
Li1 0.750 0.250 0.500
Li2 0.250 0.750 0.500
Ba1 0.000 0.000 0.000